CdSnAs2Br: optimized geometry, PBE.

Cell lengths 5.141, 5.141, 5.635 Å; angles 90.00, 90.00, 90.00 degrees
Space group P4/mmm (No. 123)
Unique sites:
Cd (0.000, 0.000, 0.000)
Sn (0.500, 0.500, 0.500)
As (0.000, 0.500, 0.000)
Br (0.000, 0.000, 0.500)

The value obtained for the uncorrected formation energy is 0.510 eV/atom. Its magnetization is 0.80 μB/f.u. The value obtained for the total energy is -2.67 eV per atom. The energy above the most stable polymorph in this dataset is 0.0 meV/atom.